Entry from Alexandria via LeMat-Bulk: a geometry-optimized Cr2O2F structure (GGA+U).

a b c (Å): 4.005 3.262 9.186
angles (deg): 90.00 90.08 90.00
Sites, in units of the cell vectors:
Cr: 0.249 0.250 0.204
Cr: 0.250 0.250 0.592
Cr: 0.750 0.750 0.408
Cr: 0.751 0.750 0.796
O: 0.250 0.750 0.438
O: 0.251 0.750 0.727
O: 0.749 0.250 0.273
O: 0.750 0.250 0.562
F: 0.249 0.750 0.083
F: 0.751 0.250 0.917

## Properties
ρ   4289 kg/m3
Space group   P2_1/m, No. 11
V   12.00 Å³/atom
VASP energy   -7.262 eV/atom